# Mo2AsOs, relaxed, DFT PBE
# E_form = 952 meV/atom
data_Mo2AsOs
_chemical_formula_sum 'Mo8 As4 Os4'
_symmetry_space_group_name_H-M 'I -4 2 d'
_symmetry_Int_Tables_number 122
_symmetry_space_group_name_Hall 'I -4 2bw'
_cell_length_a 5.895
_cell_length_b 5.895
_cell_length_c 10.332
_cell_angle_alpha 90.00
_cell_angle_beta 90.00
_cell_angle_gamma 90.00
loop_
_atom_site_label
_atom_site_fract_x
_atom_site_fract_y
_atom_site_fract_z
Mo1 0.243 0.250 0.125
As1 0.000 0.000 0.500
Os1 0.000 0.000 0.000